1.
VASP calculation (meta-GGA SCAN) on a PBEsol-optimized structure of Cd2TcAg.

## Properties
Fermi-level density of states: 3.9 states/eV/cell
Size of the total moment: 4.5 μB per cell
Distance to the lowest polymorph of the same formula: 0 meV per atom

Unit cell a=4.1520 b=4.1520 c=8.0499 alpha=90.00 beta=90.00 gamma=90.00
Space group I-4m2 (No. 119)
Inequivalent atoms, fractional coordinates:
1 Cd 0.0000 0.0000 0.0000
2 Cd 0.0000 0.5000 0.2500
3 Tc 0.0000 0.0000 0.5000
4 Ag 0.0000 0.5000 0.7500


2.
VASP calculation (meta-GGA SCAN) on a PBEsol-optimized structure of YSc2.

## Properties
Fermi-level density of states: 9.0 states/eV/cell
Size of the total moment: 0.6 μB per cell
Distance to the lowest polymorph of the same formula: 39 meV per atom

Unit cell a=3.3287 b=3.3287 c=13.9007 alpha=90.00 beta=90.00 gamma=90.00
Space group I4/mmm (No. 139)
Inequivalent atoms, fractional coordinates:
1 Y 0.0000 0.0000 0.0000
2 Sc 0.0000 0.0000 0.3279


3.
VASP calculation (meta-GGA SCAN) on a PBEsol-optimized structure of Ce2B2Ir5.

## Properties
Fermi-level density of states: 35.2 states/eV/cell
VASP energy: -51.94 eV per atom
Size of the total moment: 0.0 μB per cell

Unit cell a=5.4412 b=5.4412 c=31.3960 alpha=90.00 beta=90.00 gamma=120.00
Space group R-3m (No. 166, hexagonal axes)
Inequivalent atoms, fractional coordinates:
1 Ce 0.0000 0.0000 0.0514
2 Ce 0.0000 0.0000 0.1519
3 B 0.0000 0.0000 0.2835
4 B 0.0000 0.0000 0.3826
5 Ir 0.0000 0.0000 0.5000
6 Ir 0.0000 0.5000 0.0000
7 Ir 0.0042 0.5021 0.0965


4.
VASP calculation (meta-GGA SCAN) on a PBEsol-optimized structure of MgCr2Os.

## Properties
Fermi-level density of states: 7.7 states/eV/cell
VASP energy: -28.15 eV per atom
Size of the total moment: 0.0 μB per cell

Unit cell a=2.9541 b=4.1936 c=8.4715 alpha=90.00 beta=90.00 gamma=90.00
Space group Immm (No. 71)
Inequivalent atoms, fractional coordinates:
1 Mg 0.0000 0.0000 0.0000
2 Cr 0.0000 0.5000 0.2367
3 Os 0.0000 0.0000 0.5000


5.
VASP calculation (meta-GGA SCAN) on a PBEsol-optimized structure of AsIr3.

## Properties
Fermi-level density of states: 3.2 states/eV/cell
Size of the total moment: 0.0 μB per cell
Distance to the lowest polymorph of the same formula: 142 meV per atom

Unit cell a=2.7884 b=2.7884 c=8.6233 alpha=90.00 beta=90.00 gamma=120.00
Space group P-6m2 (No. 187)
Inequivalent atoms, fractional coordinates:
1 As 0.0000 0.0000 0.0000
2 Ir 0.0000 0.0000 0.5000
3 Ir 0.3333 0.6667 0.2466


6.
VASP calculation (meta-GGA SCAN) on a PBEsol-optimized structure of CdHgPb3.

## Properties
Fermi-level density of states: 1.5 states/eV/cell
VASP energy: -64.68 eV per atom
Size of the total moment: 0.0 μB per cell

Unit cell a=5.6204 b=5.6204 c=5.6204 alpha=90.00 beta=90.00 gamma=90.00
Space group Pm-3m (No. 221)
Inequivalent atoms, fractional coordinates:
1 Cd 0.0000 0.0000 0.0000
2 Hg 0.5000 0.5000 0.5000
3 Pb 0.0000 0.5000 0.5000